Material: SrSm2Sn9
Method: DFT, GGA-PBE
State: optimized geometry

It has space group P4/mmm (No. 123), with a = 4.848 Å, b = 4.848 Å, c = 14.026 Å, α = 90.00°, β = 90.00° and γ = 90.00°. The asymmetric unit holds Sr at (0.000, 0.000, 0.000), Sm at (0.000, 0.000, 0.338), Sn at (0.000, 0.500, 0.172), Sn at (0.000, 0.500, 0.500), Sn at (0.500, 0.500, 0.000) and Sn at (0.500, 0.500, 0.335).

The crystal system is tetragonal. For the density of states at the Fermi level, the calculation gives 5.93 states/eV per cell. Its formation energy is -0.452 eV/atom. Its uncorrected energy is -4.381 eV per atom.